# 1
La2SbIr: optimized geometry, PBE.

Cell and atoms, written as CIF:
```
data_La2SbIr
_space_group_name_H-M_alt 'C m m m'
_space_group_IT_number 65
_space_group_name_Hall '-C 2 2'
_cell_length_a 5.170
_cell_length_b 5.206
_cell_length_c 7.980
_cell_angle_alpha 90.00
_cell_angle_beta 90.00
_cell_angle_gamma 90.00
loop_
_atom_site_label
_atom_site_fract_x
_atom_site_fract_y
_atom_site_fract_z
_atom_site_occupancy
La1 0.000 0.000 0.216 1
Sb1 0.000 0.500 0.500 1
Ir1 0.000 0.500 0.000 1
```

Calculated values
- N(E_F) (states/eV/cell) = 2.6
- total moment (μB/cell) = 0.00
- ΔE_f (raw) (eV per atom) = -0.79



# 2
CrCoSe2: optimized geometry, PBE.

Cell and atoms, written as CIF:
```
data_CrCoSe2
_space_group_name_H-M_alt 'I m m 2'
_space_group_IT_number 44
_space_group_name_Hall 'I 2 -2'
_cell_length_a 3.266
_cell_length_b 3.360
_cell_length_c 12.244
_cell_angle_alpha 90.00
_cell_angle_beta 90.00
_cell_angle_gamma 90.00
loop_
_atom_site_label
_atom_site_fract_x
_atom_site_fract_y
_atom_site_fract_z
_atom_site_occupancy
Cr1 0.000 0.000 0.000 1
Co1 0.000 0.500 0.316 1
Se1 0.000 0.000 0.596 1
Se2 0.000 0.500 0.846 1
```

Calculated values
- N(E_F) (states/eV/cell) = 5.3
- total moment (μB/cell) = 4.34
- ΔE_f (raw) (eV per atom) = -0.05
- distance to the lowest polymorph of the same formula (kJ per mole of atoms) = 32.6